No. 1
Hf2Tl3Te6Pd: optimized geometry, GGA-PBE.

The structure in extended XYZ format:
```
12
Lattice="7.228 -0.011 0.015 -3.622 6.256 0.015 -1.189 -2.058 8.173" Properties=species:S:1:pos:R:3 pbc="T T T"
Pd 0.000 0.000 0.000
Te -1.201 2.066 1.625
Te 2.390 -0.008 1.625
Te 3.619 2.121 6.578
Te 0.028 4.195 6.578
Te -0.008 -0.014 6.569
Te 2.426 4.201 1.634
Tl -2.341 4.144 4.101
Tl 4.759 0.043 4.101
Tl 1.209 2.094 4.101
Hf 3.602 2.084 0.015
Hf 0.005 4.161 0.015
```

Output
- space-group type = C2/m (12)
- energy (eV/atom) = -4.74



No. 2
HfTlTePd2: optimized geometry, GGA-PBE.

The structure in extended XYZ format:
```
5
Lattice="-2.435 -0.741 4.413 3.956 -3.489 1.597 2.579 3.873 2.073" Properties=species:S:1:pos:R:3 pbc="T T T"
Hf 0.000 0.000 0.000
Tl 2.051 -0.179 4.042
Pd -1.217 -0.371 2.207
Pd 1.290 1.937 1.037
Te 1.978 -1.745 0.798
```

Output
- space-group type = P4/mmm (123)
- energy (eV/atom) = -5.01



No. 3
HfThPd: optimized geometry, GGA-PBE.

The structure in extended XYZ format:
```
3
Lattice="-1.005 -1.753 -2.736 2.758 1.054 -1.688 2.189 -4.499 4.192" Properties=species:S:1:pos:R:3 pbc="T T T"
Pd 2.049 -2.204 -1.454
Th 0.011 -0.018 0.007
Hf 1.882 -2.976 1.216
```

Output
- space-group type = I4mm (107)
- formation enthalpy at 0 K (eV per atom) = -0.415
- excess energy over the best structure of this formula in the dataset (eV per atom) = 0.000



No. 4
HfTh4Pd15: optimized geometry, GGA-PBE.

The structure in extended XYZ format:
```
20
Lattice="4.195 0.000 0.000 0.000 4.195 0.000 0.000 0.000 20.771" Properties=species:S:1:pos:R:3 pbc="T T T"
Pd 2.097 0.000 6.152
Pd 2.097 0.000 1.921
Pd 2.097 0.000 18.850
Pd 0.000 2.097 14.619
Pd 0.000 2.097 18.850
Pd 2.097 0.000 10.386
Pd 0.000 2.097 6.152
Pd 0.000 2.097 1.921
Pd 2.097 2.097 16.731
Pd 0.000 2.097 10.386
Pd 2.097 2.097 8.271
Pd 2.097 2.097 12.501
Pd 2.097 0.000 14.619
Pd 2.097 2.097 4.041
Pd 2.097 2.097 0.000
Th 0.000 0.000 16.768
Th 0.000 0.000 8.258
Th 0.000 0.000 12.513
Th 0.000 0.000 4.003
Hf 0.000 0.000 0.000
```

Output
- space-group type = P4/mmm (123)
- formation enthalpy at 0 K (eV per atom) = -0.890